First-principles (PBE) data for CsBeGe2N after structural relaxation, as listed in Alexandria via LeMat-Bulk.

extended XYZ file:
```
5
Lattice="-2.3836 3.2339 -1.7553 -2.9616 -4.1208 -3.5702 -3.0265 -0.5337 3.1266" Properties=species:S:1:pos:R:3 pbc="T T T"
N 0.0000 0.0000 0.0000
Ge -1.5133 -0.2669 1.5633
Cs -1.4808 -2.0604 -1.7851
Ge -1.1918 1.6169 -0.8776
Be -4.1858 -0.7103 -1.0995
```

Computed properties:
SG = P4/mmm (123)
VASP energy = -16.22 eV/cell

=====

First-principles (PBE) data for CsBeGeO4 after structural relaxation, as listed in Alexandria via LeMat-Bulk.

extended XYZ file:
```
14
Lattice="0.3803 -4.1655 -2.9635 -1.4583 -3.0429 4.0900 -7.5358 5.1450 1.1409" Properties=species:S:1:pos:R:3 pbc="T T T"
Be -3.8950 -1.2386 2.8451
Be -4.7187 -0.8248 -0.5776
O -3.1104 -3.8089 -0.3534
O -3.0289 -2.4955 2.2188
O -5.5848 0.4321 0.0486
O -5.3002 -1.5700 2.0975
Ge -4.2346 1.1559 1.0686
O -4.8389 3.1320 0.7573
O -3.7749 -5.1954 1.5101
Ge -4.3792 -3.2193 1.1988
Cs -7.7912 -0.2873 2.1636
O -5.5034 1.7456 2.6208
Cs -0.8226 -1.7760 0.1038
O -3.3136 -0.4933 0.1699
```

Computed properties:
SG = P2_1/m (11)
VASP energy = -80.12 eV/cell

=====

First-principles (PBE) data for CsBe2H6 after structural relaxation, as listed in Alexandria via LeMat-Bulk.

extended XYZ file:
```
9
Lattice="-0.7245 -1.1732 -3.2489 4.0646 -2.6159 -1.8789 0.5534 -7.3701 0.6208" Properties=species:S:1:pos:R:3 pbc="T T T"
H -0.3075 -1.3955 -3.2616
H 0.4946 -3.7391 -2.5942
Cs 2.3090 -4.9930 -0.6290
Be 2.9915 -8.6368 -1.3825
H 2.8174 -9.5923 -2.9157
Be 0.9020 -2.5223 -3.1244
H 1.0761 -1.5668 -1.5913
H 3.3989 -7.4200 -1.9127
H 4.2009 -9.7636 -1.2453
```

Computed properties:
SG = C2/m (12)
offset from the most stable computed form = 11.5 kJ per mole of atoms

=====

What mass density values result from the calculations? In sequence: 4.2 4.6 2.4 g/cm3.